(1)
{"formula": "Mg3Ge2Pd2", "functional": "PBE", "state": "relaxed", "magnetic_moment_mub_per_cell": 0.00, "final_energy_ev_per_cell": -112.10, "relative_energy_mev_per_atom": 0, "formation_enthalpy_0k_ev_per_fu": -3.62, "cell": [[5.3368, 0.0000, 0.0000], [0.0000, 7.1884, 0.0000], [0.0000, 0.0000, 13.1610]], "species": ["Mg", "Mg", "Mg", "Mg", "Mg", "Mg", "Mg", "Mg", "Mg", "Mg", "Mg", "Mg", "Ge", "Ge", "Ge", "Ge", "Ge", "Ge", "Ge", "Ge", "Pd", "Pd", "Pd", "Pd", "Pd", "Pd", "Pd", "Pd"], "fractional_positions": [[0.1229, 0.2467, 0.2500], [0.1229, 0.2533, 0.7500], [0.3628, 0.6003, 0.0986], [0.3628, 0.6003, 0.4014], [0.3628, 0.8997, 0.5986], [0.3628, 0.8997, 0.9014], [0.6372, 0.1003, 0.0986], [0.6372, 0.1003, 0.4014], [0.6372, 0.3997, 0.5986], [0.6372, 0.3997, 0.9014], [0.8771, 0.7467, 0.2500], [0.8771, 0.7533, 0.7500], [0.1977, 0.2500, 0.0000], [0.1977, 0.2500, 0.5000], [0.3882, 0.6047, 0.7500], [0.3882, 0.8953, 0.2500], [0.6118, 0.1047, 0.7500], [0.6118, 0.3953, 0.2500], [0.8023, 0.7500, 0.0000], [0.8023, 0.7500, 0.5000], [0.1249, 0.5513, 0.5951], [0.1249, 0.5513, 0.9049], [0.1249, 0.9487, 0.0951], [0.1249, 0.9487, 0.4049], [0.8751, 0.0513, 0.5951], [0.8751, 0.0513, 0.9049], [0.8751, 0.4487, 0.0951], [0.8751, 0.4487, 0.4049]]}


(2)
{"formula": "ScP3H", "functional": "PBE", "state": "relaxed", "magnetic_moment_mub_per_cell": 0.00, "final_energy_ev_per_cell": -25.43, "relative_energy_mev_per_atom": 0, "cell": [[4.0532, 0.0000, 0.0000], [0.0000, 4.0532, 0.0000], [0.0000, 0.0000, 4.0532]], "species": ["Sc", "P", "P", "P", "H"], "fractional_positions": [[0.0000, 0.0000, 0.0000], [0.0000, 0.5000, 0.5000], [0.5000, 0.0000, 0.5000], [0.5000, 0.5000, 0.0000], [0.5000, 0.5000, 0.5000]]}


(3)
{"formula": "Ac2Zn6RuPt", "functional": "PBE", "state": "relaxed", "magnetic_moment_mub_per_cell": 0.00, "final_energy_ev_per_cell": -34.08, "formation_enthalpy_0k_ev_per_fu": -2.90, "cell": [[-3.4285, 3.4341, 4.8462], [3.4285, -3.4341, 4.8462], [3.4285, 3.4341, -4.8462]], "species": ["Ac", "Ac", "Zn", "Zn", "Zn", "Zn", "Zn", "Zn", "Ru", "Pt"], "fractional_positions": [[0.2500, 0.2500, 0.0000], [0.7500, 0.7500, 0.0000], [0.2516, 0.2482, 0.4998], [0.2516, 0.7518, 0.0035], [0.2517, 0.7517, 0.5000], [0.7483, 0.2483, 0.5000], [0.7484, 0.2482, 0.9965], [0.7484, 0.7518, 0.5002], [0.5000, 0.0000, 0.5000], [0.0000, 0.5000, 0.5000]]}


(4)
{"formula": "MnIrW2", "functional": "PBE", "state": "relaxed", "magnetic_moment_mub_per_cell": 1.70, "final_energy_ev_per_cell": -44.11, "relative_energy_mev_per_atom": 0, "formation_enthalpy_0k_ev_per_fu": -0.18, "cell": [[3.8652, 0.0000, 0.0000], [0.0000, 3.8652, 0.0000], [0.0000, 0.0000, 3.9313]], "species": ["Mn", "Ir", "W", "W"], "fractional_positions": [[0.0000, 0.0000, 0.0000], [0.5000, 0.5000, 0.0000], [0.0000, 0.5000, 0.5000], [0.5000, 0.0000, 0.5000]]}